Record 1
A plane-wave DFT calculation with PBE-GGA was carried out for a relaxed Rb2Na2Cd3 crystal.

Lattice parameters (Å, degrees): 5.697 7.384 7.726 66.91 68.37 67.31
Fractional positions:
Na  0.139  0.995  0.728
Na  0.861  0.005  0.272
Cd  0.434  0.731  0.401
Cd  0.500  0.000  0.000
Cd  0.566  0.269  0.599
Rb  0.168  0.443  0.220
Rb  0.832  0.557  0.780

The energy relative to the elements is -43 meV per atom. The value obtained for the final energy is -7.6 eV per formula unit. The value obtained for the density of states at the Fermi level is 2.949 states/eV/f.u.

---

Record 2
A plane-wave DFT calculation with PBE-GGA was carried out for a relaxed Rb2NaCd2 crystal.

Lattice parameters (Å, degrees): 5.898 5.898 8.441 69.55 69.55 90.00
Fractional positions:
Rb  0.750  0.250  0.500
Rb  0.250  0.750  0.500
Cd  0.404  0.404  0.192
Cd  0.596  0.596  0.808
Na  0.000  0.000  0.000

As for the energy above the most stable polymorph in this dataset: 0.161 eV/atom. The energy relative to the elements is 118 meV per atom. The value obtained for the final energy is -4.5 eV per formula unit. The value obtained for the density of states at the Fermi level is 5.771 states/eV/f.u.

---

Record 3
A plane-wave DFT calculation with PBE-GGA was carried out for a relaxed RbNaCd10 crystal.

Lattice parameters (Å, degrees): 4.844 6.269 10.745 90.00 90.00 90.00
Fractional positions:
Cd  0.000  0.000  0.322
Cd  0.000  0.500  0.842
Cd  0.500  0.246  0.242
Cd  0.000  0.500  0.158
Cd  0.500  0.754  0.242
Cd  0.500  0.500  0.000
Cd  0.000  0.000  0.678
Cd  0.500  0.754  0.758
Cd  0.500  0.246  0.758
Cd  0.500  0.000  0.500
Rb  0.000  0.500  0.500
Na  0.000  0.000  0.000

The energy relative to the elements is -37 meV per atom. The value obtained for the final energy is -11.9 eV per formula unit. The value obtained for the density of states at the Fermi level is 5.207 states/eV/f.u.

---

Record 4
A plane-wave DFT calculation with PBE-GGA was carried out for a relaxed Rb2NaCd2 crystal.

Lattice parameters (Å, degrees): 5.363 10.101 5.333 90.26 120.19 90.00
Fractional positions:
Cd  0.334  0.943  0.668
Cd  0.666  0.057  0.332
Rb  0.666  0.693  0.332
Rb  0.334  0.307  0.668
Na  0.000  0.000  0.000

As for the energy above the most stable polymorph in this dataset: 0.000 eV/atom. The energy relative to the elements is -43 meV per atom. The value obtained for the final energy is -5.3 eV per formula unit. The value obtained for the density of states at the Fermi level is 2.727 states/eV/f.u.

---

Please write out number 3 again, unchanged.
A plane-wave DFT calculation with PBE-GGA was carried out for a relaxed RbNaCd10 crystal.

Lattice parameters (Å, degrees): 4.844 6.269 10.745 90.00 90.00 90.00
Fractional positions:
Cd  0.000  0.000  0.322
Cd  0.000  0.500  0.842
Cd  0.500  0.246  0.242
Cd  0.000  0.500  0.158
Cd  0.500  0.754  0.242
Cd  0.500  0.500  0.000
Cd  0.000  0.000  0.678
Cd  0.500  0.754  0.758
Cd  0.500  0.246  0.758
Cd  0.500  0.000  0.500
Rb  0.000  0.500  0.500
Na  0.000  0.000  0.000

The energy relative to the elements is -37 meV per atom. The value obtained for the final energy is -11.9 eV per formula unit. The value obtained for the density of states at the Fermi level is 5.207 states/eV/f.u.

---

- Which of these has the highest final energy?
  number 2

---

- Look up the final energy of the third one.
  -11.9 eV per formula unit